## CeTh2Pd9 (GGA-PBE)

Data for a geometry-optimized CeTh2Pd9 structure.

Values from the calculation:
mass density: 11627 kg/m³
E_form: -0.8911 eV per atom
total magnetization: 0.6 μB/cell
uncorrected energy: -6.517 eV per atom

Cell lengths 4.2058, 4.2058, 12.6113 Å; angles 90.00, 90.00, 90.00 degrees
Space group P4/mmm (No. 123)
Unique sites:
Ce  0.0000  0.0000  0.0000 [1 per cell]
Th  0.0000  0.0000  0.3309 [2 per cell]
Pd  0.0000  0.5000  0.1668 [4 per cell]
Pd  0.0000  0.5000  0.5000 [2 per cell]
Pd  0.5000  0.5000  0.0000 [1 per cell]
Pd  0.5000  0.5000  0.3343 [2 per cell]